The following is a DFT calculation (GGA+U) of a relaxed structure of Ba2MnAs2O8. Values from VASP.

Geometry as Quantum ESPRESSO input:
```
&SYSTEM
  ibrav = 0, nat = 52, ntyp = 4
/
ATOMIC_SPECIES
Ba 137.33 Ba.upf
Mn 54.94 Mn.upf
As 74.92 As.upf
O 16.00 O.upf
CELL_PARAMETERS angstrom
5.608 0.000 0.000
0.000 9.336 0.000
-5.472 0.000 16.887
ATOMIC_POSITIONS angstrom
Ba -1.323 1.556 4.529
Ba -4.059 3.112 12.973
Ba -4.307 6.511 16.547
Ba -1.571 7.493 8.103
Ba 1.707 1.843 8.785
Ba 4.443 2.825 0.341
Ba 4.195 6.224 3.915
Ba 1.459 7.780 12.358
Mn 1.540 0.172 2.314
Mn -1.196 4.496 10.758
Mn 1.332 4.840 6.130
Mn -1.404 9.164 14.573
As -4.048 0.856 15.605
As -1.312 3.812 7.161
As -1.297 0.962 11.206
As 1.439 3.707 2.762
As -1.303 5.630 14.125
As 1.433 8.375 5.681
As 1.448 5.524 9.726
As 4.184 8.480 1.282
O -2.776 6.010 10.650
O -0.040 7.995 2.207
O 1.025 0.988 0.372
O -1.711 3.680 8.816
O -1.834 0.293 9.714
O 0.902 4.375 1.270
O -0.789 5.371 6.611
O -3.525 8.634 15.055
O -3.031 5.641 14.053
O -0.295 8.363 5.609
O 0.756 2.122 2.913
O -1.980 2.547 11.356
O -1.962 0.043 12.512
O 0.774 4.626 4.068
O -2.733 1.893 15.192
O 0.003 2.775 6.749
O 0.133 6.561 10.139
O 2.869 7.443 1.695
O -0.638 4.711 12.820
O 2.098 9.294 4.376
O 2.116 6.790 5.531
O -0.620 7.215 13.975
O 0.431 0.973 11.279
O 3.167 3.695 2.835
O 3.661 0.702 1.833
O 0.925 3.966 10.277
O -0.766 4.962 15.617
O 1.970 9.043 7.174
O 1.847 5.656 8.072
O -0.889 8.348 16.516
O 0.176 1.341 14.681
O 2.912 3.327 6.237
```

Results
volume: 884 Å³/cell
N(E_F): 0.000 states/eV per cell
crystal system: monoclinic
uncorrected energy: -346.7 eV/cell
M_tot: 5.00 μB/f.u.